A plane-wave DFT calculation with PBE was carried out for a relaxed Cs2PuReN4 crystal.

Lattice parameters (Å, degrees): 6.079 13.249 23.354 90.00 90.00 90.00
Space group Fddd (No. 70, origin choice 2)
Symmetry-distinct sites (fractional):
Cs: 0.125 0.125 0.302 x16
Pu: 0.125 0.125 0.125 x8
Re: 0.125 0.125 0.625 x8
N: 0.086 0.301 0.836 x32

E ... -8.0009 eV/atom
Energy relative to the elements, uncorrected ... -277.3 meV/atom